[1]
# ZrTa2Re | Alexandria | meta-GGA SCAN | single point on PBEsol structure
data_ZrTa2Re
_cell_length_a 3.2214
_cell_length_b 4.6477
_cell_length_c 9.3975
_cell_angle_alpha 90.00
_cell_angle_beta 90.00
_cell_angle_gamma 90.00
_space_group_name_H-M_alt 'P 1'
_space_group_IT_number 1
loop_
_space_group_symop_operation_xyz
'x,y,z'
loop_
_atom_site_label
_atom_site_fract_x
_atom_site_fract_y
_atom_site_fract_z
Zr1 0.0000 0.0000 0.0000
Zr2 0.5000 0.5000 0.5000
Ta1 0.0000 0.5000 0.2342
Ta2 0.0000 0.5000 0.7658
Ta3 0.5000 0.0000 0.2658
Ta4 0.5000 0.0000 0.7342
Re1 0.0000 0.0000 0.5000
Re2 0.5000 0.5000 0.0000
# - Space group: Immm
# - Final energy: -58.97 eV per atom
# - N(E_F): 0.74 states/eV per atom


[2]
# ZrTaRe | Alexandria | meta-GGA SCAN | single point on PBEsol structure
data_ZrTaRe
_cell_length_a 3.0836
_cell_length_b 3.0836
_cell_length_c 6.5847
_cell_angle_alpha 90.00
_cell_angle_beta 90.00
_cell_angle_gamma 120.00
_space_group_name_H-M_alt 'P 1'
_space_group_IT_number 1
loop_
_space_group_symop_operation_xyz
'x,y,z'
loop_
_atom_site_label
_atom_site_fract_x
_atom_site_fract_y
_atom_site_fract_z
Zr1 0.0000 0.0000 0.0000
Ta1 0.6667 0.3333 0.3703
Re1 0.3333 0.6667 0.6669
# - Space group: P3m1
# - N(E_F): 0.90 states/eV per atom
# - Energy above the lowest structure with this stoichiometry: 404 meV/atom


[3]
# Re2Tc3 | Alexandria | meta-GGA SCAN | single point on PBEsol structure
data_Re2Tc3
_cell_length_a 2.7251
_cell_length_b 2.7251
_cell_length_c 33.3171
_cell_angle_alpha 90.00
_cell_angle_beta 90.00
_cell_angle_gamma 120.00
_space_group_name_H-M_alt 'P 1'
_space_group_IT_number 1
loop_
_space_group_symop_operation_xyz
'x,y,z'
loop_
_atom_site_label
_atom_site_fract_x
_atom_site_fract_y
_atom_site_fract_z
Re1 0.0000 0.0000 0.1000
Re2 0.0000 0.0000 0.9000
Re3 0.3333 0.6667 0.5667
Re4 0.3333 0.6667 0.7667
Re5 0.6667 0.3333 0.2333
Re6 0.6667 0.3333 0.4333
Tc1 0.0000 0.0000 0.3006
Tc2 0.0000 0.0000 0.5000
Tc3 0.0000 0.0000 0.6994
Tc4 0.3333 0.6667 0.1667
Tc5 0.3333 0.6667 0.3660
Tc6 0.3333 0.6667 0.9673
Tc7 0.6667 0.3333 0.0327
Tc8 0.6667 0.3333 0.6340
Tc9 0.6667 0.3333 0.8333
# - Space group: R-3m
# - N(E_F): 0.81 states/eV per atom
# - Energy above the lowest structure with this stoichiometry: 7 meV/atom


[4]
# ReTc2 | Alexandria | meta-GGA SCAN | single point on PBEsol structure
data_ReTc2
_cell_length_a 9.9695
_cell_length_b 2.7293
_cell_length_c 6.4556
_cell_angle_alpha 90.00
_cell_angle_beta 104.45
_cell_angle_gamma 90.00
_space_group_name_H-M_alt 'P 1'
_space_group_IT_number 1
loop_
_space_group_symop_operation_xyz
'x,y,z'
loop_
_atom_site_label
_atom_site_fract_x
_atom_site_fract_y
_atom_site_fract_z
Re1 0.0000 0.0000 0.0000
Re2 0.1677 0.5000 0.3343
Re3 0.5000 0.5000 0.0000
Re4 0.6677 0.0000 0.3343
Tc1 0.0567 0.0000 0.6138
Tc2 0.2242 0.5000 0.9451
Tc3 0.3340 0.0000 0.6684
Tc4 0.3896 0.0000 0.2812
Tc5 0.5567 0.5000 0.6138
Tc6 0.7242 0.0000 0.9451
Tc7 0.8340 0.5000 0.6684
Tc8 0.8896 0.5000 0.2812
# - Space group: Cm
# - N(E_F): 0.91 states/eV per atom
# - Energy above the lowest structure with this stoichiometry: 0 meV/atom


[5]
# Re12Tc17 | Alexandria | meta-GGA SCAN | single point on PBEsol structure
data_Re12Tc17
_cell_length_a 8.1971
_cell_length_b 8.1971
_cell_length_c 8.1971
_cell_angle_alpha 109.47
_cell_angle_beta 109.47
_cell_angle_gamma 109.47
_space_group_name_H-M_alt 'P 1'
_space_group_IT_number 1
loop_
_space_group_symop_operation_xyz
'x,y,z'
loop_
_atom_site_label
_atom_site_fract_x
_atom_site_fract_y
_atom_site_fract_z
Re1 0.0000 0.6239 0.8064
Re2 0.0000 0.8064 0.6239
Re3 0.1824 0.3761 0.3761
Re4 0.1936 0.1936 0.8176
Re5 0.1936 0.8176 0.1936
Re6 0.3761 0.1824 0.3761
Re7 0.3761 0.3761 0.1824
Re8 0.6239 0.0000 0.8064
Re9 0.6239 0.8064 0.0000
Re10 0.8064 0.0000 0.6239
Re11 0.8064 0.6239 0.0000
Re12 0.8176 0.1936 0.1936
Tc1 0.0000 0.0000 0.0000
Tc2 0.0000 0.0000 0.3526
Tc3 0.0000 0.3155 0.5977
Tc4 0.0000 0.3526 0.0000
Tc5 0.0000 0.5977 0.3155
Tc6 0.2821 0.6845 0.6845
Tc7 0.3155 0.0000 0.5977
Tc8 0.3155 0.5977 0.0000
Tc9 0.3526 0.0000 0.0000
Tc10 0.4023 0.4023 0.7179
Tc11 0.4023 0.7179 0.4023
Tc12 0.5977 0.0000 0.3155
Tc13 0.5977 0.3155 0.0000
Tc14 0.6474 0.6474 0.6474
Tc15 0.6845 0.2821 0.6845
Tc16 0.6845 0.6845 0.2821
Tc17 0.7179 0.4023 0.4023
# - Space group: I-43m
# - Final energy: -49.98 eV per atom
# - N(E_F): 0.87 states/eV per atom


[6]
# Re3Tc | Alexandria | meta-GGA SCAN | single point on PBEsol structure
data_Re3Tc
_cell_length_a 5.4727
_cell_length_b 7.7525
_cell_length_c 2.7331
_cell_angle_alpha 90.00
_cell_angle_beta 90.00
_cell_angle_gamma 90.00
_space_group_name_H-M_alt 'P 1'
_space_group_IT_number 1
loop_
_space_group_symop_operation_xyz
'x,y,z'
loop_
_atom_site_label
_atom_site_fract_x
_atom_site_fract_y
_atom_site_fract_z
Re1 0.0000 0.0000 0.0000
Re2 0.2500 0.2500 0.5000
Re3 0.2500 0.7500 0.5000
Re4 0.5000 0.5000 0.0000
Re5 0.7500 0.2500 0.5000
Re6 0.7500 0.7500 0.5000
Tc1 0.0000 0.5000 0.0000
Tc2 0.5000 0.0000 0.0000
# - Space group: Cmmm
# - N(E_F): 0.79 states/eV per atom
# - Energy above the lowest structure with this stoichiometry: 50 meV/atom


[7]
# Re2Tc | Alexandria | meta-GGA SCAN | single point on PBEsol structure
data_Re2Tc
_cell_length_a 10.0335
_cell_length_b 2.7431
_cell_length_c 6.4849
_cell_angle_alpha 90.00
_cell_angle_beta 104.67
_cell_angle_gamma 90.00
_space_group_name_H-M_alt 'P 1'
_space_group_IT_number 1
loop_
_space_group_symop_operation_xyz
'x,y,z'
loop_
_atom_site_label
_atom_site_fract_x
_atom_site_fract_y
_atom_site_fract_z
Re1 0.0282 0.0000 0.3069
Re2 0.1397 0.5000 0.0265
Re3 0.3603 0.0000 0.9735
Re4 0.4718 0.5000 0.6931
Re5 0.5282 0.5000 0.3069
Re6 0.6397 0.0000 0.0265
Re7 0.8603 0.5000 0.9735
Re8 0.9718 0.0000 0.6931
Tc1 0.1948 0.5000 0.6367
Tc2 0.3052 0.0000 0.3633
Tc3 0.6948 0.0000 0.6367
Tc4 0.8052 0.5000 0.3633
# - Space group: C2/m
# - N(E_F): 0.85 states/eV per atom
# - Energy above the lowest structure with this stoichiometry: 1 meV/atom


[8]
# Re3Tc5 | Alexandria | meta-GGA SCAN | single point on PBEsol structure
data_Re3Tc5
_cell_length_a 7.7040
_cell_length_b 7.7095
_cell_length_c 3.8430
_cell_angle_alpha 90.00
_cell_angle_beta 90.00
_cell_angle_gamma 90.00
_space_group_name_H-M_alt 'P 1'
_space_group_IT_number 1
loop_
_space_group_symop_operation_xyz
'x,y,z'
loop_
_atom_site_label
_atom_site_fract_x
_atom_site_fract_y
_atom_site_fract_z
Re1 0.0000 0.0000 0.0000
Re2 0.0000 0.2509 0.5000
Re3 0.0000 0.7491 0.5000
Re4 0.5000 0.2491 0.5000
Re5 0.5000 0.5000 0.0000
Re6 0.5000 0.7509 0.5000
Tc1 0.0000 0.5000 0.0000
Tc2 0.2490 0.5000 0.5000
Tc3 0.2500 0.2500 0.0000
Tc4 0.2500 0.7500 0.0000
Tc5 0.2510 0.0000 0.5000
Tc6 0.5000 0.0000 0.0000
Tc7 0.7490 0.0000 0.5000
Tc8 0.7500 0.2500 0.0000
Tc9 0.7500 0.7500 0.0000
Tc10 0.7510 0.5000 0.5000
# - Space group: Cmmm
# - Final energy: -48.53 eV per atom
# - N(E_F): 0.89 states/eV per atom


[9]
# Re5Tc24 | Alexandria | meta-GGA SCAN | single point on PBEsol structure
data_Re5Tc24
_cell_length_a 8.1324
_cell_length_b 8.1324
_cell_length_c 8.1324
_cell_angle_alpha 109.47
_cell_angle_beta 109.47
_cell_angle_gamma 109.47
_space_group_name_H-M_alt 'P 1'
_space_group_IT_number 1
loop_
_space_group_symop_operation_xyz
'x,y,z'
loop_
_atom_site_label
_atom_site_fract_x
_atom_site_fract_y
_atom_site_fract_z
Re1 0.0000 0.0000 0.0000
Re2 0.0000 0.0000 0.6419
Re3 0.0000 0.6419 0.0000
Re4 0.3581 0.3581 0.3581
Re5 0.6419 0.0000 0.0000
Tc1 0.0000 0.1923 0.3725
Tc2 0.0000 0.3725 0.1923
Tc3 0.0000 0.3990 0.6841
Tc4 0.0000 0.6841 0.3990
Tc5 0.1801 0.8077 0.8077
Tc6 0.1923 0.0000 0.3725
Tc7 0.1923 0.3725 0.0000
Tc8 0.2851 0.6010 0.6010
Tc9 0.3159 0.3159 0.7149
Tc10 0.3159 0.7149 0.3159
Tc11 0.3725 0.0000 0.1923
Tc12 0.3725 0.1923 0.0000
Tc13 0.3990 0.0000 0.6841
Tc14 0.3990 0.6841 0.0000
Tc15 0.6010 0.2851 0.6010
Tc16 0.6010 0.6010 0.2851
Tc17 0.6275 0.6275 0.8199
Tc18 0.6275 0.8199 0.6275
Tc19 0.6841 0.0000 0.3990
Tc20 0.6841 0.3990 0.0000
Tc21 0.7149 0.3159 0.3159
Tc22 0.8077 0.1801 0.8077
Tc23 0.8077 0.8077 0.1801
Tc24 0.8199 0.6275 0.6275
# - Space group: I-43m
# - Final energy: -41.28 eV per atom
# - N(E_F): 0.77 states/eV per atom


[10]
# ReTc3 | Alexandria | meta-GGA SCAN | single point on PBEsol structure
data_ReTc3
_cell_length_a 2.7271
_cell_length_b 4.3808
_cell_length_c 4.7297
_cell_angle_alpha 90.00
_cell_angle_beta 90.00
_cell_angle_gamma 90.00
_space_group_name_H-M_alt 'P 1'
_space_group_IT_number 1
loop_
_space_group_symop_operation_xyz
'x,y,z'
loop_
_atom_site_label
_atom_site_fract_x
_atom_site_fract_y
_atom_site_fract_z
Re1 0.0000 0.0000 0.0000
Tc1 0.0000 0.5000 0.3322
Tc2 0.5000 0.0000 0.4979
Tc3 0.5000 0.5000 0.8309
# - Space group: Pmm2
# - N(E_F): 0.91 states/eV per atom
# - Energy above the lowest structure with this stoichiometry: 12 meV/atom


[11]
# ReTc3 | Alexandria | meta-GGA SCAN | single point on PBEsol structure
data_ReTc3
_cell_length_a 4.7249
_cell_length_b 8.7664
_cell_length_c 5.4529
_cell_angle_alpha 90.00
_cell_angle_beta 90.00
_cell_angle_gamma 90.00
_space_group_name_H-M_alt 'P 1'
_space_group_IT_number 1
loop_
_space_group_symop_operation_xyz
'x,y,z'
loop_
_atom_site_label
_atom_site_fract_x
_atom_site_fract_y
_atom_site_fract_z
Re1 0.0828 0.2500 0.1252
Re2 0.4172 0.7500 0.6252
Re3 0.5828 0.2500 0.3748
Re4 0.9172 0.7500 0.8748
Tc1 0.0836 0.2500 0.6247
Tc2 0.2486 0.5028 0.3752
Tc3 0.2486 0.9972 0.3752
Tc4 0.2514 0.0028 0.8752
Tc5 0.2514 0.4972 0.8752
Tc6 0.4164 0.7500 0.1247
Tc7 0.5836 0.2500 0.8753
Tc8 0.7486 0.5028 0.1248
Tc9 0.7486 0.9972 0.1248
Tc10 0.7514 0.0028 0.6248
Tc11 0.7514 0.4972 0.6248
Tc12 0.9164 0.7500 0.3753
# - Space group: Pnma
# - N(E_F): 0.74 states/eV per atom
# - Energy above the lowest structure with this stoichiometry: 0 meV/atom


[12]
# ReTc3 | Alexandria | meta-GGA SCAN | single point on PBEsol structure
data_ReTc3
_cell_length_a 3.8412
_cell_length_b 3.8412
_cell_length_c 7.6898
_cell_angle_alpha 90.00
_cell_angle_beta 90.00
_cell_angle_gamma 90.00
_space_group_name_H-M_alt 'P 1'
_space_group_IT_number 1
loop_
_space_group_symop_operation_xyz
'x,y,z'
loop_
_atom_site_label
_atom_site_fract_x
_atom_site_fract_y
_atom_site_fract_z
Re1 0.0000 0.0000 0.0000
Re2 0.5000 0.5000 0.5000
Tc1 0.0000 0.0000 0.5000
Tc2 0.0000 0.5000 0.2500
Tc3 0.0000 0.5000 0.7500
Tc4 0.5000 0.0000 0.2500
Tc5 0.5000 0.0000 0.7500
Tc6 0.5000 0.5000 0.0000
# - Space group: I4/mmm
# - N(E_F): 0.93 states/eV per atom
# - Energy above the lowest structure with this stoichiometry: 65 meV/atom